No. 1
Crystalline ErCu2Ni4 at its relaxed geometry. Source: Alexandria, functional PBE-GGA.

abc: 7.020 7.020 4.920
angles: 90.00 90.00 90.00
Space group I4/mmm (No. 139)
One atom of each set of equivalent atoms:
Er 0.000 0.000 0.000 [2 per cell]
Cu 0.000 0.500 0.250 [4 per cell]
Ni 0.000 0.222 0.500 [8 per cell]

## Properties
The energy of formation from the pure elements comes out at 2.868 eV/f.u. The density of states at the Fermi level comes out at 13.03 states/eV/cell.

***

No. 2
Crystalline ErCu2Ni9 at its relaxed geometry. Source: Alexandria, functional PBE-GGA.

abc: 4.7663 4.7663 23.1181
angles: 90.00 90.00 120.00
Space group R-3m (No. 166, hexagonal axes)
One atom of each set of equivalent atoms:
Er 0.0000 0.0000 0.0000 [3 per cell]
Cu 0.0000 0.0000 0.1471 [6 per cell]
Ni 0.0000 0.0000 0.3341 [6 per cell]
Ni 0.0000 0.0000 0.5000 [3 per cell]
Ni 0.0049 0.5025 0.9137 [18 per cell]

## Properties
The energy of formation from the pure elements comes out at -0.849 eV/f.u. The density of states at the Fermi level comes out at 44.40 states/eV/cell.

***

No. 3
Crystalline ErCuNi2 at its relaxed geometry. Source: Alexandria, functional PBE-GGA.

abc: 6.178 6.178 6.178
angles: 90.00 90.00 90.00
Space group Fm-3m (No. 225)
One atom of each set of equivalent atoms:
Er 0.000 0.000 0.000 [4 per cell]
Cu 0.000 0.000 0.500 [4 per cell]
Ni 0.250 0.250 0.250 [8 per cell]

## Properties
The energy of formation from the pure elements comes out at -0.775 eV/f.u. The density of states at the Fermi level comes out at 11.19 states/eV/cell.

***

No. 4
Crystalline Er4CuNi at its relaxed geometry. Source: Alexandria, functional PBE-GGA.

abc: 3.409 3.409 12.200
angles: 90.00 90.00 90.00
Space group P4/mmm (No. 123)
One atom of each set of equivalent atoms:
Er 0.000 0.000 0.131 [2 per cell]
Er 0.500 0.500 0.359 [2 per cell]
Cu 0.000 0.000 0.500 [1 per cell]
Ni 0.500 0.500 0.000 [1 per cell]

## Properties
The energy of formation from the pure elements comes out at -1.225 eV/f.u. The density of states at the Fermi level comes out at 6.36 states/eV/cell.

***

No. 5
Crystalline ErCuNi2 at its relaxed geometry. Source: Alexandria, functional PBE-GGA.

abc: 4.0869 4.0869 13.1613
angles: 90.00 90.00 120.00
Space group R-3m (No. 166, hexagonal axes)
One atom of each set of equivalent atoms:
Er 0.0000 0.0000 0.0000 [3 per cell]
Cu 0.0000 0.0000 0.5000 [3 per cell]
Ni 0.0000 0.0000 0.2020 [6 per cell]

## Properties
The energy of formation from the pure elements comes out at -1.167 eV/f.u. The density of states at the Fermi level comes out at 3.92 states/eV/cell.

***

No. 6
Crystalline ErCu6Ni6 at its relaxed geometry. Source: Alexandria, functional PBE-GGA.

abc: 4.763 8.282 8.297
angles: 90.00 90.00 90.00
Space group Immm (No. 71)
One atom of each set of equivalent atoms:
Er 0.000 0.000 0.000 [2 per cell]
Cu 0.000 0.000 0.350 [4 per cell]
Cu 0.000 0.284 0.500 [4 per cell]
Cu 0.000 0.353 0.000 [4 per cell]
Ni 0.000 0.500 0.278 [4 per cell]
Ni 0.250 0.250 0.250 [8 per cell]

## Properties
The energy of formation from the pure elements comes out at -1.662 eV/f.u. The density of states at the Fermi level comes out at 21.02 states/eV/cell.

***

No. 7
Crystalline ErCu3Ni8 at its relaxed geometry. Source: Alexandria, functional PBE-GGA.

abc: 4.7532 4.7532 7.7286
angles: 90.00 90.00 120.00
Space group P3m1 (No. 156)
One atom of each set of equivalent atoms:
Er 0.0000 0.0000 0.0000 [1 per cell]
Cu 0.0000 0.0000 0.3884 [1 per cell]
Cu 0.6667 0.3333 0.4962 [1 per cell]
Cu 0.6667 0.3333 0.8403 [1 per cell]
Ni 0.1644 0.3288 0.6772 [3 per cell]
Ni 0.3333 0.6667 0.4326 [1 per cell]
Ni 0.3333 0.6667 0.9321 [1 per cell]
Ni 0.5038 0.0075 0.1935 [3 per cell]

## Properties
The energy of formation from the pure elements comes out at -0.684 eV/f.u. The density of states at the Fermi level comes out at 11.20 states/eV/cell.

***

No. 8
Crystalline Er3Cu4Ni4 at its relaxed geometry. Source: Alexandria, functional PBE-GGA.

abc: 7.173 7.173 7.173
angles: 90.00 90.00 90.00
Space group I-43m (No. 217)
One atom of each set of equivalent atoms:
Er 0.000 0.000 0.500 [6 per cell]
Cu 0.122 0.122 0.122 [8 per cell]
Ni 0.198 0.198 0.802 [8 per cell]

## Properties
The energy of formation from the pure elements comes out at -1.360 eV/f.u. The density of states at the Fermi level comes out at 20.26 states/eV/cell.

***

No. 9
Crystalline Er2CuNi at its relaxed geometry. Source: Alexandria, functional PBE-GGA.

abc: 4.320 3.704 10.102
angles: 90.00 90.00 90.00
Space group Amm2 (No. 38)
One atom of each set of equivalent atoms:
Er 0.000 0.000 0.000 [2 per cell]
Er 0.500 0.000 0.279 [2 per cell]
Cu 0.500 0.000 0.568 [2 per cell]
Ni 0.000 0.000 0.713 [2 per cell]

## Properties
The energy of formation from the pure elements comes out at -1.565 eV/f.u. The density of states at the Fermi level comes out at 4.51 states/eV/cell.

***

No. 10
Crystalline Er3CuNi at its relaxed geometry. Source: Alexandria, functional PBE-GGA.

abc: 9.945 6.325 7.873
angles: 90.00 113.60 90.00
Space group C2/m (No. 12)
One atom of each set of equivalent atoms:
Er 0.009 0.000 0.239 [4 per cell]
Er 0.189 0.500 0.857 [4 per cell]
Er 0.193 0.500 0.333 [4 per cell]
Cu 0.000 0.303 0.500 [4 per cell]
Ni 0.000 0.306 0.000 [4 per cell]

## Properties
The energy of formation from the pure elements comes out at -1.209 eV/f.u. The density of states at the Fermi level comes out at 22.02 states/eV/cell.

***

No. 11
Crystalline ErCu6Ni4 at its relaxed geometry. Source: Alexandria, functional PBE-GGA.

abc: 5.999 5.999 8.796
angles: 90.00 90.00 90.00
Space group I-42m (No. 121)
One atom of each set of equivalent atoms:
Er 0.000 0.000 0.000 [2 per cell]
Cu 0.000 0.500 0.000 [4 per cell]
Cu 0.152 0.152 0.595 [8 per cell]
Ni 0.224 0.224 0.324 [8 per cell]

## Properties
The energy of formation from the pure elements comes out at 2.308 eV/f.u. The density of states at the Fermi level comes out at 13.54 states/eV/cell.